Record 1
{"formula": "La2Pm3Sm3", "functional": "PBE", "state": "optimized geometry", "lattice_angstrom": [[-1.055, 4.844, 1.541], [-3.819, -1.794, 3.024], [9.130, -2.555, 5.538]], "species": ["La", "La", "Sm", "Sm", "Sm", "Pm", "Pm", "Pm"], "fractional_positions": [[0.750, 0.250, 0.500], [0.250, 0.750, 0.500], [0.500, 0.000, 0.000], [0.623, 0.623, 0.246], [0.377, 0.377, 0.754], [0.123, 0.123, 0.246], [0.000, 0.500, 0.000], [0.877, 0.877, 0.754]], "volume_a3_per_atom": 34.8, "relative_energy_ev_per_atom": 0.0000, "sg": "C2/m, No. 12", "m_tot_mub_per_cell": 0.0, "ef_ev_per_atom": 0.0166, "dos_at_fermi_per_ev_cell": 13.53}

=====

Record 2
{"formula": "La8Pm3Sm2", "functional": "PBE", "state": "optimized geometry", "lattice_angstrom": [[5.889, 0.000, 0.637], [0.000, 7.742, 0.000], [-1.131, -3.871, 10.355]], "species": ["Sm", "Sm", "La", "La", "La", "La", "La", "La", "La", "La", "Pm", "Pm", "Pm"], "fractional_positions": [[0.503, 0.758, 0.516], [0.497, 0.242, 0.484], [0.500, 0.401, 0.209], [0.998, 0.326, 0.651], [0.500, 0.808, 0.209], [0.001, 0.865, 0.730], [0.500, 0.599, 0.791], [0.500, 0.192, 0.791], [0.999, 0.135, 0.270], [0.002, 0.674, 0.349], [0.500, 0.000, 0.000], [0.000, 0.719, 0.000], [0.000, 0.281, 0.000]], "volume_a3_per_atom": 36.7, "relative_energy_ev_per_atom": 0.0370, "sg": "C2/m, No. 12", "m_tot_mub_per_cell": 0.0, "ef_ev_per_atom": 0.1763, "dos_at_fermi_per_ev_cell": 19.63}

=====

Record 3
{"formula": "La8PmSm6", "functional": "PBE", "state": "optimized geometry", "lattice_angstrom": [[-3.534, -1.916, -4.979], [2.263, -4.445, -4.008], [-6.573, -12.943, 5.533]], "species": ["La", "La", "La", "La", "La", "La", "La", "La", "Pm", "Sm", "Sm", "Sm", "Sm", "Sm", "Sm"], "fractional_positions": [[0.333, 0.333, 0.000], [0.466, 0.132, 0.604], [0.132, 0.799, 0.604], [0.201, 0.534, 0.396], [0.667, 0.667, 0.000], [0.868, 0.201, 0.396], [0.534, 0.868, 0.396], [0.799, 0.466, 0.604], [0.000, 0.000, 0.000], [0.267, 0.934, 0.198], [0.398, 0.733, 0.802], [0.066, 0.398, 0.802], [0.934, 0.602, 0.198], [0.733, 0.066, 0.802], [0.602, 0.267, 0.198]], "volume_a3_per_atom": 35.7, "relative_energy_ev_per_atom": 0.0000, "sg": "R-3, No. 148", "m_tot_mub_per_cell": 0.0, "ef_ev_per_atom": 0.0233, "dos_at_fermi_per_ev_cell": 25.66}

=====

Record 4
{"formula": "LaPm2Sm6", "functional": "PBE", "state": "optimized geometry", "lattice_angstrom": [[3.190, 0.533, 1.469], [3.087, 9.605, 6.995], [2.201, 1.033, 12.033]], "species": ["Sm", "Sm", "Sm", "Sm", "Sm", "Sm", "Pm", "Pm", "La"], "fractional_positions": [[0.500, 0.666, 0.334], [0.500, 0.334, 0.666], [0.830, 0.335, 0.000], [0.170, 0.000, 0.665], [0.170, 0.665, 0.000], [0.830, 0.000, 0.335], [0.333, 0.667, 0.667], [0.667, 0.333, 0.333], [0.000, 0.000, 0.000]], "volume_a3_per_atom": 34.2, "relative_energy_ev_per_atom": 0.0000, "sg": "Cmmm, No. 65", "m_tot_mub_per_cell": 0.0, "ef_ev_per_atom": 0.0539, "dos_at_fermi_per_ev_cell": 13.08}